No. 1
Er7Bi2Au2: optimized geometry, GGA-PBE.

a = 7.0465 Å, b = 6.9809 Å, c = 7.0465 Å
α = 90.00°, β = 100.24°, γ = 90.00°
Closest atoms and distances in Å follow each position.
Atoms (fractional coordinates):
1 Er 0.0000 0.2481 0.5000  2 Au 2.86
2 Er 0.5000 0.7519 0.0000  2 Au 2.86
3 Er 0.0000 0.7519 0.5000  2 Au 2.86
4 Er 0.5000 0.2481 0.0000  2 Au 2.86
5 Er 0.0000 0.0000 0.0000  2 Au 3.02
6 Er 0.5000 0.7611 0.5000  2 Au 2.91
7 Er 0.5000 0.2389 0.5000  2 Au 2.91
8 Bi 0.8023 0.5000 0.8023  6 Er 3.26-3.28, 1 Bi 3.57
9 Bi 0.1977 0.5000 0.1977  6 Er 3.26-3.28, 1 Bi 3.57
10 Au 0.7209 0.0000 0.2791  7 Er 2.86-3.02
11 Au 0.2791 0.0000 0.7209  7 Er 2.86-3.02

Output
E_tot = -4.604 eV per atom
SG = Cmmm
E_form = -0.398 eV/atom
N(E_F) = 0.77 states/eV/atom
M_tot = 0.000 μB/atom


No. 2
Er4BiAu: optimized geometry, GGA-PBE.

a = 4.0626 Å, b = 8.3327 Å, c = 19.5816 Å
α = 90.00°, β = 90.00°, γ = 90.00°
Closest atoms and distances in Å follow each position.
Atoms (fractional coordinates):
1 Er 0.7500 0.8624 0.6556  2 Au 2.94, 2 Bi 3.20-3.28
2 Er 0.2500 0.1376 0.3444  2 Au 2.94, 2 Bi 3.20-3.28
3 Er 0.2500 0.6376 0.1556  2 Au 2.94, 2 Bi 3.20-3.28
4 Er 0.7500 0.3624 0.8444  2 Au 2.94, 2 Bi 3.20-3.28
5 Er 0.7500 0.8579 0.4453  3 Au 3.03-3.09, 2 Bi 3.37
6 Er 0.2500 0.1421 0.5547  3 Au 3.03-3.09, 2 Bi 3.37
7 Er 0.2500 0.6421 0.9453  3 Au 3.03-3.09, 2 Bi 3.37
8 Er 0.7500 0.3579 0.0547  3 Au 3.03-3.09, 2 Bi 3.37
9 Er 0.7500 0.0144 0.9322  2 Au 2.96, 1 Bi 3.24
10 Er 0.2500 0.9856 0.0678  2 Au 2.96, 1 Bi 3.24
11 Er 0.2500 0.4856 0.4322  2 Au 2.96, 1 Bi 3.24
12 Er 0.7500 0.5144 0.5678  2 Au 2.96, 1 Bi 3.24
13 Er 0.7500 0.9574 0.2138  4 Bi 3.28, 6 Er 3.51-3.60, 1 Au 3.66
14 Er 0.2500 0.0426 0.7862  4 Bi 3.28, 6 Er 3.51-3.60, 1 Au 3.66
15 Er 0.2500 0.5426 0.7138  4 Bi 3.28, 6 Er 3.51-3.60, 1 Au 3.66
16 Er 0.7500 0.4574 0.2862  4 Bi 3.28, 6 Er 3.51-3.60, 1 Au 3.66
17 Bi 0.7500 0.7405 0.8148  9 Er 3.20-3.37
18 Bi 0.2500 0.2595 0.1852  9 Er 3.20-3.37
19 Bi 0.2500 0.7595 0.3148  9 Er 3.20-3.37
20 Bi 0.7500 0.2405 0.6852  9 Er 3.20-3.37
21 Au 0.7500 0.2288 0.4460  7 Er 2.94-3.09
22 Au 0.2500 0.7712 0.5540  7 Er 2.94-3.09
23 Au 0.2500 0.2712 0.9460  7 Er 2.94-3.09
24 Au 0.7500 0.7288 0.0540  7 Er 2.94-3.09

Output
E above lowest polymorph = 0.000 eV/f.u.
E_tot = -4.807 eV per atom
SG = Pnma
E_form = -0.572 eV/atom
N(E_F) = 1.05 states/eV/atom
M_tot = 0.163 μB/atom